A plane-wave DFT calculation with PBE+U was carried out for crystalline Cr2TcPbO8 at its relaxed geometry.

abc: 4.6681 4.6681 6.4363
angles: 90.00 90.00 90.83
With the nearest neighbours (Å) after each atom.
Atoms (fractional coordinates):
Cr 0.0000 0.0000 0.2424  6 O 2.01-2.05
Cr 0.0000 0.0000 0.7576  6 O 2.01-2.05
Tc 0.5000 0.5000 0.0000  6 O 1.92-1.94
Pb 0.5000 0.5000 0.5000  6 O 2.12-2.25
O 0.1766 0.1766 0.5000  2 Cr 2.02, 1 Pb 2.12
O 0.2039 0.2039 0.0000  1 Tc 1.94, 2 Cr 2.05
O 0.3012 0.6988 0.2174  1 Tc 1.92, 1 Cr 2.01
O 0.3012 0.6988 0.7826  1 Tc 1.92, 1 Cr 2.01
O 0.6988 0.3012 0.2174  1 Tc 1.92, 1 Cr 2.01
O 0.6988 0.3012 0.7826  1 Tc 1.92, 1 Cr 2.01
O 0.7961 0.7961 0.0000  1 Tc 1.94, 2 Cr 2.05
O 0.8234 0.8234 0.5000  2 Cr 2.02, 1 Pb 2.12

- total moment (μB per formula unit) = 6.6
- energy (eV/atom) = -7.136
- calculated density (Mg/m³) = 6.4